[1]
VASP calculation (GGA-PBE) on a relaxed LaGe3As crystal.

Output
Relative energy among the computed polymorphs: 1032 meV/atom
E_tot: -17.6 eV/cell
ΔH_f (0 K): 27.1 kcal/mol of atoms
DOS at the Fermi energy: 7.35 states/eV/f.u.

Unit cell a=5.6150 b=5.6150 c=5.6150 alpha=90.00 beta=90.00 gamma=90.00
Closest atoms and distances in Å follow each position.
Atoms (fractional coordinates):
La  0.0000  0.0000  0.0000  6 Ge 2.81
Ge  0.0000  0.0000  0.5000  2 La 2.81
Ge  0.0000  0.5000  0.0000  2 La 2.81
Ge  0.5000  0.0000  0.0000  2 La 2.81
As  0.5000  0.5000  0.5000  12 Ge 3.97


[2]
VASP calculation (GGA-PBE) on a relaxed Ti2Si2H crystal.

Output
E_tot: -63.1 eV/cell
DOS at the Fermi energy: 2.71 states/eV/f.u.

Unit cell a=5.8804 b=5.8804 c=3.9421 alpha=90.00 beta=90.00 gamma=90.00
Closest atoms and distances in Å follow each position.
Atoms (fractional coordinates):
Ti  0.1720  0.3280  0.0000  2 H 2.18
Ti  0.3280  0.8280  0.0000  2 H 2.18
Ti  0.6720  0.1720  0.0000  2 H 2.18
Ti  0.8280  0.6720  0.0000  2 H 2.18
Si  0.1408  0.6408  0.5000  1 Si 2.34, 2 Ti 2.51
Si  0.3592  0.1408  0.5000  1 Si 2.34, 2 Ti 2.51
Si  0.6408  0.8592  0.5000  1 Si 2.34, 2 Ti 2.51
Si  0.8592  0.3592  0.5000  1 Si 2.34, 2 Ti 2.51
H  0.0000  0.0000  0.0000  4 Ti 2.18
H  0.5000  0.5000  0.0000  4 Ti 2.18


[3]
VASP calculation (GGA-PBE) on a relaxed Cs3Ac3PuS8 crystal.

Output
E_tot: -88.8 eV/cell
Formation energy from raw total energies: -171 kJ per mole of atoms
DOS at the Fermi energy: 11.10 states/eV/f.u.

Unit cell a=9.6461 b=9.6461 c=9.6461 alpha=54.08 beta=54.08 gamma=54.08
Closest atoms and distances in Å follow each position.
Atoms (fractional coordinates):
Cs  0.0000  0.5000  0.5000  6 S 3.58-3.60
Cs  0.5000  0.0000  0.5000  6 S 3.58-3.60
Cs  0.5000  0.5000  0.0000  6 S 3.58-3.60
Ac  0.0000  0.0000  0.5000  6 S 2.98-3.02
Ac  0.0000  0.5000  0.0000  6 S 2.98-3.02
Ac  0.5000  0.0000  0.0000  6 S 2.98-3.02
Pu  0.5000  0.5000  0.5000  6 S 2.74
S  0.2308  0.2308  0.2308  3 Ac 2.98
S  0.2529  0.7122  0.7122  1 Pu 2.74, 2 Ac 3.02
S  0.2878  0.2878  0.7471  1 Pu 2.74, 2 Ac 3.02
S  0.2878  0.7471  0.2878  1 Pu 2.74, 2 Ac 3.02
S  0.7122  0.2529  0.7122  1 Pu 2.74, 2 Ac 3.02
S  0.7122  0.7122  0.2529  1 Pu 2.74, 2 Ac 3.02
S  0.7471  0.2878  0.2878  1 Pu 2.74, 2 Ac 3.02
S  0.7692  0.7692  0.7692  3 Ac 2.98


[4]
VASP calculation (GGA-PBE) on a relaxed LaTmNi2As2 crystal.

Output
E_tot: -36.6 eV/cell
ΔH_f (0 K): -24.5 kcal/mol of atoms
DOS at the Fermi energy: 2.26 states/eV/f.u.

Unit cell a=4.1187 b=4.1187 c=7.8211 alpha=90.00 beta=90.00 gamma=120.00
Closest atoms and distances in Å follow each position.
Atoms (fractional coordinates):
La  0.0000  0.0000  0.0000  6 As 3.16, 6 Ni 3.18
Tm  0.0000  0.0000  0.5000  6 Ni 2.98, 6 As 3.00
Ni  0.3333  0.6667  0.7305  3 As 2.38
Ni  0.6667  0.3333  0.2695  3 As 2.38
As  0.3333  0.6667  0.2664  3 Ni 2.38
As  0.6667  0.3333  0.7336  3 Ni 2.38


[5]
VASP calculation (GGA-PBE) on a relaxed VAg crystal.

Output
E_tot: -40.6 eV/cell
ΔH_f (0 K): 21.0 kcal/mol of atoms
DOS at the Fermi energy: 1.72 states/eV/f.u.

Unit cell a=5.2721 b=5.2721 c=5.4843 alpha=90.00 beta=90.00 gamma=90.00
Closest atoms and distances in Å follow each position.
Atoms (fractional coordinates):
V  0.1282  0.1282  0.0000  1 V 1.91
V  0.3718  0.6282  0.5000  1 V 1.91
V  0.6282  0.3718  0.5000  1 V 1.91
V  0.8718  0.8718  0.0000  1 V 1.91
Ag  0.1721  0.1721  0.5000  1 Ag 2.57, 4 V 2.63-2.76
Ag  0.3279  0.6721  0.0000  1 Ag 2.57, 4 V 2.63-2.76
Ag  0.6721  0.3279  0.0000  1 Ag 2.57, 4 V 2.63-2.76
Ag  0.8279  0.8279  0.5000  1 Ag 2.57, 4 V 2.63-2.76


[6]
VASP calculation (GGA-PBE) on a relaxed MnIr2W crystal.

Output
Relative energy among the computed polymorphs: 205 meV/atom
E_tot: -120.2 eV/cell
ΔH_f (0 K): -1.3 kcal/mol of atoms
DOS at the Fermi energy: 4.28 states/eV/f.u.

Unit cell a=2.8025 b=2.8025 c=26.1407 alpha=90.00 beta=90.00 gamma=120.00
Closest atoms and distances in Å follow each position.
Atoms (fractional coordinates):
Mn  0.0000  0.0000  0.0000  6 Ir 2.68, 6 Mn 2.80
Mn  0.3333  0.6667  0.6667  6 Ir 2.68, 6 Mn 2.80
Mn  0.6667  0.3333  0.3333  6 Ir 2.68, 6 Mn 2.80
Ir  0.0000  0.0000  0.2515  3 Mn 2.68, 3 W 2.74, 6 Ir 2.80
Ir  0.0000  0.0000  0.7485  3 Mn 2.68, 3 W 2.74, 6 Ir 2.80
Ir  0.3333  0.6667  0.4152  3 Mn 2.68, 3 W 2.74, 6 Ir 2.80
Ir  0.3333  0.6667  0.9181  3 Mn 2.68, 3 W 2.74, 6 Ir 2.80
Ir  0.6667  0.3333  0.0819  3 Mn 2.68, 3 W 2.74, 6 Ir 2.80
Ir  0.6667  0.3333  0.5848  3 Mn 2.68, 3 W 2.74, 6 Ir 2.80
W  0.0000  0.0000  0.5000  6 Ir 2.74, 6 W 2.80
W  0.3333  0.6667  0.1667  6 Ir 2.74, 6 W 2.80
W  0.6667  0.3333  0.8333  6 Ir 2.74, 6 W 2.80